# Er2MoPt9

A geometry-optimized Er2MoPt9 structure (PBE-GGA, Alexandria via LeMat-Bulk).

a b c (Å): 4.053 4.053 12.214
angles (deg): 90.00 90.00 90.00
Last column: magnetic moment on the atom in μB.
Fractional positions:
Er: 0.000 0.000 0.666  -0.01
Er: 0.000 0.000 0.334  -0.01
Mo: 0.000 0.000 0.000  0.57
Pt: 0.500 0.000 0.845  0.02
Pt: 0.500 0.000 0.500  0.00
Pt: 0.000 0.500 0.155  0.02
Pt: 0.500 0.500 0.672  0.00
Pt: 0.000 0.500 0.845  0.02
Pt: 0.000 0.500 0.500  0.00
Pt: 0.500 0.500 0.000  0.01
Pt: 0.500 0.500 0.328  0.00
Pt: 0.500 0.000 0.155  0.02

As for the total magnetic moment: 0.7 μB/f.u. Its space group is P4/mmm. The energy relative to the elements is -0.789 eV per atom.

# Er2Si4MoPt3

A geometry-optimized Er2Si4MoPt3 structure (PBE-GGA, Alexandria via LeMat-Bulk).

a b c (Å): 4.170 4.170 10.006
angles (deg): 90.00 90.00 90.00
Fractional positions:
Pt: 0.000 0.500 0.125
Pt: 0.000 0.000 0.500
Pt: 0.500 0.000 0.875
Mo: 0.500 0.500 0.500
Si: 0.000 0.500 0.366
Si: 0.500 0.000 0.634
Si: 0.500 0.500 0.000
Si: 0.000 0.000 0.000
Er: 0.500 0.000 0.244
Er: 0.000 0.500 0.756

As for the total magnetic moment: 0.0 μB/f.u. Its space group is P-4m2. The uncorrected formation energy is -0.937 eV per atom.

# ErPuMo4

A geometry-optimized ErPuMo4 structure (PBE-GGA, Alexandria via LeMat-Bulk).

a b c (Å): 5.482 5.482 5.482
angles (deg): 60.00 60.00 60.00
Last column: magnetic moment on the atom in μB.
Fractional positions:
Mo: 0.625 0.625 0.126  0.07
Mo: 0.625 0.625 0.625  0.07
Mo: 0.126 0.625 0.625  0.07
Mo: 0.625 0.126 0.625  0.07
Er: 0.000 0.000 0.000  -0.04
Pu: 0.250 0.250 0.250  -4.97

As for the total magnetic moment: 5.0 μB/f.u. Its space group is F-43m. The energy relative to the elements is 0.213 eV per atom.

# ErPu2Mo

A geometry-optimized ErPu2Mo structure (PBE-GGA, Alexandria via LeMat-Bulk).

a b c (Å): 3.302 3.302 10.308
angles (deg): 80.78 80.78 60.00
Last column: magnetic moment on the atom in μB.
Fractional positions:
Er: 0.500 0.500 0.500  0.23
Mo: 0.000 0.000 0.000  -0.60
Pu: 0.262 0.262 0.215  5.21
Pu: 0.738 0.738 0.785  5.21

As for the total magnetic moment: 10.6 μB/f.u. Its space group is R-3m. The energy relative to the elements is 0.368 eV per atom.

# Rb3Er3MoS8

A geometry-optimized Rb3Er3MoS8 structure (PBE-GGA, Alexandria via LeMat-Bulk).

a b c (Å): 7.812 7.812 9.046
angles (deg): 115.60 90.00 120.00
Last column: magnetic moment on the atom in μB.
Fractional positions:
Rb: 0.000 0.000 0.000  0.00
Rb: 0.000 0.500 0.000  0.00
Rb: 0.500 0.500 0.000  0.00
S: 0.250 0.035 0.320  0.00
S: 0.785 0.570 0.320  0.00
S: 0.215 0.965 0.680  0.00
S: 0.215 0.430 0.680  0.00
S: 0.730 0.461 0.691  0.00
S: 0.750 0.965 0.680  0.00
S: 0.785 0.035 0.320  0.00
S: 0.270 0.539 0.309  0.00
Er: 0.500 0.000 0.500  0.03
Er: 0.500 0.500 0.500  0.03
Er: 0.000 0.500 0.500  0.03
Mo: 0.000 0.000 0.500  1.66

As for the total magnetic moment: 2.0 μB/f.u. Its space group is R-3m. The uncorrected formation energy is -1.535 eV per atom.

# ErRe4Mo

A geometry-optimized ErRe4Mo structure (PBE-GGA, Alexandria via LeMat-Bulk).

a b c (Å): 5.266 5.266 5.266
angles (deg): 60.00 60.00 60.00
Fractional positions:
Re: 0.625 0.625 0.625
Re: 0.625 0.625 0.126
Re: 0.625 0.126 0.625
Re: 0.126 0.625 0.625
Er: 0.250 0.250 0.250
Mo: 0.000 0.000 0.000

As for the total magnetic moment: 0.0 μB/f.u. Its space group is F-43m. The energy relative to the elements is 0.077 eV per atom.

| no. | uncorrected energy (eV/atom) |
| --- | --- |
| 1 | -6.9828 |
| 2 | -6.9140 |
| 3 | -10.1564 |
| 4 | -10.6463 |
| 5 | -5.5649 |
| 6 | -10.7869 |